Entry 1:
BeV2W | PBE | optimized geometry

Cell: 2.9279 2.9279 7.5013 Å, 78.75 78.75 60.00°
Element x y z (fractional)
V1 0.7424 0.7424 0.7727
V2 0.2576 0.2576 0.2273
W1 0.5000 0.5000 0.5000
Be1 0.0000 0.0000 0.0000

Results
**Calculated total energy**: -33.55 eV/cell
**Space group**: R-3m, No. 166

---

Entry 2:
BeV3W | PBE | optimized geometry

Cell: 4.5574 4.5574 4.5574 Å, 90.00 90.00 90.00°
Element x y z (fractional)
V1 0.0000 0.5000 0.0000
W1 0.0000 0.0000 0.0000
V2 0.0000 0.0000 0.5000
Be1 0.5000 0.5000 0.5000
V3 0.5000 0.0000 0.0000

Results
**Calculated total energy**: -35.75 eV/cell
**Space group**: Pm-3m, No. 221

---

- Number 2 is which compound?
  BeV3W

---

- What is the formula in the first record?
  BeV2W

---

- Among the records above, which one has the highest calculated total energy?
  BeV2W

---

Copy entry 1 word for word.
BeV2W | PBE | optimized geometry

Cell: 2.9279 2.9279 7.5013 Å, 78.75 78.75 60.00°
Element x y z (fractional)
V1 0.7424 0.7424 0.7727
V2 0.2576 0.2576 0.2273
W1 0.5000 0.5000 0.5000
Be1 0.0000 0.0000 0.0000

Results
**Calculated total energy**: -33.55 eV/cell
**Space group**: R-3m, No. 166